Entry from Alexandria via LeMat-Bulk: crystalline K4Hf3Te8Pd at its relaxed geometry (GGA-PBE).

Calculated values
- DOS at the Fermi energy: 10.50 states/eV/f.u.
- Size of the total moment: 0.001 μB per formula unit
- E_tot: -4.852 eV/atom

Lattice parameters (Å, degrees): 14.718 8.480 9.530 90.00 121.00 90.00
Space group C2/m (No. 12)
Asymmetric unit:
K: 0.000 0.000 0.000 (multiplicity 2)
K: 0.000 0.500 0.000 (multiplicity 2)
K: 0.250 0.250 0.000 (multiplicity 4)
Hf: 0.000 0.000 0.500 (multiplicity 2)
Hf: 0.250 0.250 0.500 (multiplicity 4)
Te: 0.019 0.252 0.309 (multiplicity 8)
Te: 0.230 0.500 0.692 (multiplicity 4)
Te: 0.234 0.000 0.702 (multiplicity 4)
Pd: 0.000 0.500 0.500 (multiplicity 2)